Entry 1:
A plane-wave DFT calculation with PBE was carried out for Li6NdCu6 after structural relaxation.

Values from the calculation:
* DOS(E_F): 0.5501 states/eV per atom
* magnetization: 0.00 μB per cell
* space-group type: Immm (71)

Structure (extended XYZ):
```
13
Lattice="4.6570 0.0000 1.8614 2.2941 6.2630 1.0169 0.0038 -0.0571 6.7468" Properties=species:S:1:pos:R:3 pbc="T T T"
Cu 4.1175 4.8693 3.2112
Cu 3.4755 3.1315 1.4392
Cu 2.8374 1.3367 6.4139
Cu 0.0019 -0.0285 3.3734
Cu 1.1470 3.1315 0.5085
Cu 2.3304 -0.0285 4.3041
Li 3.1445 3.9788 5.6456
Li 5.1251 4.8941 7.4467
Li 1.8298 1.3119 2.1784
Li 1.4994 4.0702 3.0050
Li 3.8104 2.2271 3.9796
Li 0.7985 2.1358 4.7587
Nd 0.0000 0.0000 0.0000
```

Entry 2:
A plane-wave DFT calculation with PBE was carried out for LiNd2Cu after structural relaxation.

Values from the calculation:
* DOS(E_F): 1.0050 states/eV per atom
* magnetization: 0.00 μB per cell
* space-group type: R-3m (166)

Structure (extended XYZ):
```
4
Lattice="-2.2967 -1.1091 2.4189 -3.1990 -1.0793 -0.9783 1.9719 -11.0063 -0.6204" Properties=species:S:1:pos:R:3 pbc="T T T"
Li 0.0000 0.0000 0.0000
Nd -4.3299 -5.3383 1.1032
Nd 0.8060 -7.8564 -0.2831
Cu -1.7619 -6.5973 0.4101
```

| no. | energy of formation (eV per atom) |
| --- | --- |
| 1 | -0.060 |
| 2 | 0.221 |